PBE CdGaPS2, optimized geometry; density = 3.529 g cm⁻³; E above lowest polymorph = 279.6 meV per atom; total moment = 1.47 μB/f.u.; calculated volume = 130.5 Å³/f.u.; formation energy from raw total energies = 0.756 eV/atom; SG = No. 123; final energy = -2.7649 eV per atom
1.0
5.098 0.000 0.000
0.000 5.098 0.000
0.000 0.000 5.020
Cd Ga P S
1 1 1 2
Direct
0.000 0.000 0.000
0.500 0.500 0.500
0.000 0.000 0.500
0.000 0.500 0.000
0.500 0.000 0.000

***

PBE Eu2ErAg, optimized geometry; density = 7.732 g cm⁻³; E above lowest polymorph = 183.7 meV per atom; calculated formation energy = 0.1254 eV per atom; total moment = 14.74 μB/f.u.; calculated volume = 124.4 Å³/f.u.; SG = No. 225; final energy = -6.8654 eV per atom
1.0
0.000 3.962 3.962
3.962 0.000 3.962
3.962 3.962 0.000
Eu Er Ag
2 1 1
Direct
0.250 0.250 0.250
0.750 0.750 0.750
0.000 0.000 0.000
0.500 0.500 0.500

***

> What is the formula in the second record?

Eu2ErAg

***

> Among the records above, which one has the lowest final energy?

Eu2ErAg

***

> Which value of density does entry 2 give?

7.732 g cm⁻³

***

> What is the density in the second record?

7.732 g cm⁻³